Entry from the Alexandria database: a relaxed structure of PtBr2 (GGA-PBE).

Unit cell a=8.2907 b=7.2851 c=4.7182 alpha=84.49 beta=61.00 gamma=34.50
Fractional positions:
1 Pt 0.0000 0.0000 0.0000
2 Br 0.3827 0.3827 0.6173
3 Br 0.6173 0.6173 0.3827

Computed properties:
Formation energy without anion corrections   -0.169 eV per atom
SG   Fmmm (69)
Volume   37.204 A^3/atom